# 1
A plane-wave DFT calculation with PBE was carried out for crystalline LaHo3Tm5 at its relaxed geometry.

Properties
M_tot	0.000	μB/atom
polymorph energy (0 for the lowest one)	0.0000	eV per atom
energy of formation	340	meV/atom

Unit cell a=9.9891 b=9.9891 c=11.1275 alpha=67.88 beta=67.88 gamma=34.79
Positions (direct):
Tm1 0.6326 0.3674 0.2500
Tm2 0.0941 0.5785 0.6944
Tm3 0.9142 0.4269 0.9698
Tm4 0.3674 0.6326 0.7500
Tm5 0.4269 0.9142 0.4698
Tm6 0.5731 0.0858 0.5302
Tm7 0.0858 0.5731 0.0302
Tm8 0.4215 0.9059 0.8056
Tm9 0.9059 0.4215 0.3056
Tm10 0.5785 0.0941 0.1944
Ho1 0.9475 0.4086 0.6376
Ho2 0.4086 0.9475 0.1376
Ho3 0.0525 0.5914 0.3624
Ho4 0.5914 0.0525 0.8624
Ho5 0.0000 0.0000 0.5000
Ho6 0.0000 0.0000 0.0000
La1 0.8568 0.1432 0.7500
La2 0.1432 0.8568 0.2500



# 2
A plane-wave DFT calculation with PBE was carried out for crystalline LaHo5Tm4 at its relaxed geometry.

Properties
M_tot	0.000	μB/atom
polymorph energy (0 for the lowest one)	0.0000	eV per atom
energy of formation	27	meV/atom

Unit cell a=3.5412 b=9.9567 c=10.6111 alpha=103.57 beta=120.02 gamma=90.06
Positions (direct):
Ho1 0.9021 0.4011 0.6015
Ho2 0.1019 0.1012 0.4012
Ho3 0.8981 0.8988 0.5988
Ho4 0.5000 0.5000 0.0000
Ho5 0.0979 0.5989 0.3985
Tm1 0.3038 0.3039 0.2025
Tm2 0.3055 0.7976 0.2037
Tm3 0.6962 0.6961 0.7975
Tm4 0.6945 0.2024 0.7963
La1 0.5000 0.0000 0.0000



# 3
A plane-wave DFT calculation with PBE was carried out for crystalline LaHo8Tm6 at its relaxed geometry.

Properties
M_tot	0.000	μB/atom
polymorph energy (0 for the lowest one)	0.0000	eV per atom
energy of formation	143	meV/atom

Unit cell a=8.9347 b=8.9347 c=8.5703 alpha=58.58 beta=58.58 gamma=60.00
Positions (direct):
Tm1 0.4648 0.8957 0.8776
Tm2 0.7619 0.4648 0.8776
Tm3 0.2381 0.5352 0.1224
Tm4 0.8957 0.7619 0.8776
Tm5 0.5352 0.1043 0.1224
Tm6 0.1043 0.2381 0.1224
Ho1 0.2541 0.2817 0.5753
Ho2 0.2817 0.8889 0.5753
Ho3 0.8889 0.2541 0.5753
Ho4 0.7183 0.1111 0.4247
Ho5 0.4231 0.4231 0.7308
Ho6 0.7459 0.7183 0.4247
Ho7 0.1111 0.7459 0.4247
Ho8 0.5769 0.5769 0.2692
La1 0.0000 0.0000 0.0000



# 4
A plane-wave DFT calculation with PBE was carried out for crystalline La7HoTm2 at its relaxed geometry.

Properties
M_tot	0.000	μB/atom
energy of formation	602	meV/atom

Unit cell a=5.8201 b=9.2865 c=9.2865 alpha=122.03 beta=90.00 gamma=90.00
Positions (direct):
La1 0.0000 0.7662 0.2338
La2 0.5000 0.7038 0.9327
La3 0.5000 0.5000 0.5000
La4 0.0000 0.2338 0.7662
La5 0.5000 0.0673 0.2962
La6 0.5000 0.2962 0.0673
La7 0.5000 0.9327 0.7038
Ho1 0.0000 0.0000 0.0000
Tm1 0.5000 0.2947 0.7053
Tm2 0.5000 0.7053 0.2947



# 5
A plane-wave DFT calculation with PBE was carried out for crystalline La5Ho2Tm4 at its relaxed geometry.

Properties
M_tot	0.000	μB/atom
polymorph energy (0 for the lowest one)	0.0948	eV per atom
energy of formation	178	meV/atom

Unit cell a=3.5403 b=9.1908 c=12.8370 alpha=110.98 beta=97.93 gamma=90.00
Positions (direct):
La1 0.8539 0.0551 0.7077
La2 0.1461 0.9449 0.2923
La3 0.8539 0.6527 0.7077
La4 0.5000 0.0000 0.0000
La5 0.1461 0.3473 0.2923
Tm1 0.0000 0.6811 0.0000
Tm2 0.0000 0.3189 0.0000
Tm3 0.5959 0.5959 0.1918
Tm4 0.4041 0.4041 0.8082
Ho1 0.2698 0.2698 0.5396
Ho2 0.7302 0.7302 0.4604



# 6
A plane-wave DFT calculation with PBE was carried out for crystalline La5Ho4Tm4 at its relaxed geometry.

Properties
M_tot	0.000	μB/atom
energy of formation	37	meV/atom

Unit cell a=5.0852 b=9.5357 c=9.5357 alpha=85.92 beta=74.54 gamma=74.54
Positions (direct):
Ho1 0.7653 0.3904 0.0791
Ho2 0.8444 0.9209 0.3904
Ho3 0.2347 0.6096 0.9209
Ho4 0.1556 0.0791 0.6096
La1 0.4617 0.2336 0.8430
La2 0.5383 0.7664 0.1570
La3 0.3047 0.1570 0.2336
La4 0.6953 0.8430 0.7664
La5 0.0000 0.0000 0.0000
Tm1 0.6124 0.3128 0.4624
Tm2 0.9252 0.4624 0.6872
Tm3 0.0748 0.5376 0.3128
Tm4 0.3876 0.6872 0.5376



# 7
A plane-wave DFT calculation with PBE was carried out for crystalline LaHo4Tm4 at its relaxed geometry.

Properties
M_tot	0.000	μB/atom
polymorph energy (0 for the lowest one)	0.0000	eV per atom
energy of formation	31	meV/atom

Unit cell a=4.9972 b=7.9104 c=7.9104 alpha=84.27 beta=71.59 gamma=71.59
Positions (direct):
Tm1 0.3361 0.6640 0.6638
Tm2 0.6639 0.3360 0.3362
Tm3 0.9999 0.3362 0.6640
Tm4 0.0001 0.6638 0.3360
Ho1 0.3312 0.3378 0.9998
Ho2 0.6688 0.6622 0.0002
Ho3 0.6690 0.9998 0.6622
Ho4 0.3310 0.0002 0.3378
La1 0.0000 0.0000 0.0000



# 8
A plane-wave DFT calculation with PBE was carried out for crystalline La4Ho10Tm at its relaxed geometry.

Properties
M_tot	0.000	μB/atom
energy of formation	371	meV/atom

Unit cell a=10.6246 b=8.7341 c=8.7341 alpha=68.29 beta=52.54 gamma=52.54
Positions (direct):
Ho1 0.8704 0.9039 0.6781
Ho2 0.2500 0.5000 0.5000
Ho3 0.5476 0.9039 0.6781
Ho4 0.4524 0.0961 0.3219
Ho5 0.2257 0.3219 0.9039
Ho6 0.5485 0.3219 0.9039
Ho7 0.4515 0.6781 0.0961
Ho8 0.7743 0.6781 0.0961
Ho9 0.7500 0.5000 0.5000
Ho10 0.1296 0.0961 0.3219
La1 0.0668 0.5983 0.2682
La2 0.9332 0.4017 0.7318
La3 0.3350 0.7318 0.5983
La4 0.6650 0.2682 0.4017
Tm1 0.0000 0.0000 0.0000



Question: Among the records above, which one has the lowest energy of formation?
Answer: LaHo5Tm4



Question: The lowest energy of formation belongs to which entry?
Answer: LaHo5Tm4